(1)
Compound: ScBO
Source: the Alexandria database
Functional: GGA-PBE
Structure: optimized geometry

The structure in extended XYZ format:
```
12
Lattice="7.386 0.000 0.000 0.000 3.016 0.000 -1.111 0.000 5.619" Properties=species:S:1:pos:R:3 pbc="T T T"
Sc 0.993 0.604 2.381
Sc 0.437 0.904 5.191
Sc 5.837 2.112 0.428
Sc 5.282 2.412 3.238
B 3.514 0.001 0.902
B 2.761 3.015 4.718
B 3.316 1.509 1.908
B 2.958 1.507 3.711
O 0.705 2.257 0.868
O 0.150 2.268 3.678
O 6.125 0.749 1.941
O 5.569 0.760 4.751
```

Properties
Its space-group type is No. 14.

***

(2)
Compound: Sc2BO4
Source: the Alexandria database
Functional: GGA-PBE
Structure: optimized geometry

The structure in extended XYZ format:
```
7
Lattice="-1.612 1.612 5.983 1.612 -1.612 5.983 1.612 1.612 -5.983" Properties=species:S:1:pos:R:3 pbc="T T T"
Sc 0.000 0.000 1.753
Sc 0.000 0.000 10.214
B 0.000 0.000 5.983
O 1.612 0.000 0.000
O 0.000 0.000 3.901
O 0.000 1.612 0.000
O 0.000 0.000 8.065
```

Properties
Its space-group type is No. 139.

***

(3)
Compound: Sc2BO
Source: the Alexandria database
Functional: GGA-PBE
Structure: optimized geometry

The structure in extended XYZ format:
```
8
Lattice="-2.551 2.551 5.043 2.551 -2.551 5.043 2.551 2.551 -5.043" Properties=species:S:1:pos:R:3 pbc="T T T"
Sc 3.827 1.103 -1.261
Sc 1.103 1.276 1.261
Sc -1.276 1.448 3.782
Sc 1.448 1.276 6.303
B 2.551 0.000 2.521
B 0.000 0.000 5.043
O 0.000 0.000 0.000
O 0.000 2.551 2.521
```

Properties
The energy above the lowest structure with this stoichiometry is 0.000 eV/atom. Its space-group type is No. 122.

***

(4)
Compound: Sc3B5O12
Source: the Alexandria database
Functional: GGA-PBE
Structure: optimized geometry

The structure in extended XYZ format:
```
80
Lattice="12.531 0.000 0.000 0.000 4.478 0.000 0.000 0.000 12.329" Properties=species:S:1:pos:R:3 pbc="T T T"
Sc 1.625 0.000 0.000
Sc 1.704 0.067 3.761
Sc 1.704 4.411 8.569
Sc 4.562 0.067 2.404
Sc 4.562 4.411 9.926
Sc 4.640 0.000 6.165
Sc 7.891 0.000 6.165
Sc 7.969 0.067 2.404
Sc 7.969 4.411 9.926
Sc 10.827 0.067 3.761
Sc 10.827 4.411 8.569
Sc 10.905 0.000 0.000
B 0.000 2.073 4.547
B 0.000 2.090 1.795
B 0.000 2.388 10.534
B 0.000 2.405 7.782
B 2.036 2.239 6.165
B 2.535 2.051 10.481
B 2.535 2.427 1.849
B 3.730 2.051 8.014
B 3.730 2.427 4.316
B 4.229 2.239 0.000
B 6.265 2.073 1.617
B 6.265 2.090 4.370
B 6.265 2.388 7.960
B 6.265 2.405 10.712
B 8.301 2.239 0.000
B 8.800 2.051 8.014
B 8.800 2.427 4.316
B 9.996 2.051 10.481
B 9.996 2.427 1.849
B 10.495 2.239 6.165
O 0.000 1.003 7.960
O 0.000 1.060 0.794
O 0.000 1.347 3.175
O 0.000 3.131 9.155
O 0.000 3.419 11.535
O 0.000 3.475 4.369
O 1.184 1.481 10.585
O 1.184 2.997 1.745
O 1.211 1.505 5.200
O 1.211 2.974 7.130
O 2.556 0.990 1.891
O 2.556 3.488 10.439
O 2.922 1.330 6.937
O 2.922 3.148 5.393
O 3.133 1.435 9.247
O 3.133 3.043 3.082
O 3.343 1.330 11.557
O 3.343 3.148 0.772
O 3.709 0.990 4.274
O 3.709 3.488 8.056
O 5.055 1.505 0.965
O 5.055 2.974 11.365
O 5.082 1.481 7.909
O 5.082 2.997 4.420
O 6.265 1.003 10.534
O 6.265 1.060 5.371
O 6.265 1.347 2.990
O 6.265 3.131 9.340
O 6.265 3.419 6.959
O 6.265 3.475 1.795
O 7.449 1.481 7.909
O 7.449 2.997 4.420
O 7.476 1.505 0.965
O 7.476 2.974 11.365
O 8.822 0.990 4.274
O 8.822 3.488 8.056
O 9.188 1.330 11.557
O 9.188 3.148 0.772
O 9.398 1.435 9.247
O 9.398 3.043 3.082
O 9.608 1.330 6.937
O 9.608 3.148 5.393
O 9.974 0.990 1.891
O 9.974 3.488 10.439
O 11.320 1.505 5.200
O 11.320 2.974 7.130
O 11.347 1.481 10.585
O 11.347 2.997 1.745
```

Properties
Its space-group type is No. 53.

***

(5)
Compound: ScB3O
Source: the Alexandria database
Functional: GGA-PBE
Structure: optimized geometry

The structure in extended XYZ format:
```
5
Lattice="4.517 0.000 0.000 0.000 4.517 0.000 0.000 0.000 4.517" Properties=species:S:1:pos:R:3 pbc="T T T"
Sc 0.000 0.000 0.000
B 0.000 0.000 2.259
B 0.000 2.259 0.000
B 2.259 0.000 0.000
O 2.259 2.259 2.259
```

Properties
The energy above the lowest structure with this stoichiometry is 1.516 eV/atom. Its space-group type is No. 221.

***

(6)
Compound: SmSc3B4O12
Source: the Alexandria database
Functional: GGA-PBE
Structure: optimized geometry

The structure in extended XYZ format:
```
20
Lattice="4.926 2.844 2.664 -4.926 2.844 2.664 0.000 -5.689 2.664" Properties=species:S:1:pos:R:3 pbc="T T T"
Sm 0.000 0.000 0.000
Sc -2.691 -1.028 2.664
Sc -2.691 1.028 5.329
Sc 0.455 2.844 2.664
B -2.231 -3.864 3.997
B 0.000 0.000 3.997
B -2.231 3.864 3.997
B 4.461 0.000 3.997
O -2.965 -2.693 3.906
O -4.008 0.000 3.997
O -0.849 -3.914 4.087
O -1.384 0.000 3.997
O -2.965 2.693 4.087
O 2.004 -3.471 3.997
O 0.692 -1.199 3.997
O -0.849 3.914 3.906
O 0.692 1.199 3.997
O 3.814 -1.221 3.906
O 2.004 3.471 3.997
O 3.814 1.221 4.087
```

Properties
Its space-group type is No. 155.

***

(7)
Compound: ScSnB2O6
Source: the Alexandria database
Functional: GGA-PBE
Structure: optimized geometry

The structure in extended XYZ format:
```
20
Lattice="3.941 -4.893 0.000 3.941 4.893 0.000 -1.681 0.000 5.976" Properties=species:S:1:pos:R:3 pbc="T T T"
Sc 2.681 4.125 4.482
Sc 3.521 -4.125 1.494
Sn 3.521 0.962 1.494
Sn 2.681 -0.962 4.482
B 0.755 1.549 4.428
B 1.595 -1.549 1.440
B 4.607 1.549 4.535
B 5.448 -1.549 1.548
O -0.160 0.902 3.619
O 1.354 1.980 1.495
O 0.680 -0.902 0.631
O 1.528 0.740 5.269
O 0.514 -1.980 4.483
O 2.368 -0.740 2.281
O 3.834 0.740 3.694
O 5.688 1.980 1.493
O 4.675 -0.740 0.707
O 5.522 0.902 5.344
O 4.848 -1.980 4.480
O 6.363 -0.902 2.356
```

Properties
Its space-group type is No. 15.

***

(8)
Compound: Sr2Sc2B4O11
Source: the Alexandria database
Functional: GGA-PBE
Structure: optimized geometry

The structure in extended XYZ format:
```
19
Lattice="5.128 0.000 0.000 1.582 6.157 0.000 0.106 1.491 7.210" Properties=species:S:1:pos:R:3 pbc="T T T"
Sr 1.466 1.443 1.162
Sr 5.350 6.204 6.048
Sc 1.471 2.700 4.653
Sc 5.344 4.948 2.556
B 2.724 5.712 4.379
B 2.863 4.189 0.742
B 3.952 3.458 6.468
B 4.091 1.936 2.831
O 1.521 4.249 0.968
O 1.653 4.826 4.172
O 2.456 6.896 5.059
O 2.810 2.239 3.182
O 3.798 5.121 1.108
O 3.355 3.078 0.000
O 3.018 2.527 6.102
O 4.005 5.409 4.027
O 4.359 0.752 2.151
O 5.162 2.821 3.038
O 5.294 3.399 6.242
```

Properties
Its space-group type is No. 2.

***

Number 1: volume 10.43 Å³/atom, ΔE_f (raw) -1875 meV per atom. Number 2: volume 8.89 Å³/atom, ΔE_f (raw) -2330 meV per atom. Number 3: volume 16.41 Å³/atom, ΔE_f (raw) -1239 meV per atom. Number 4: volume 8.65 Å³/atom, ΔE_f (raw) -2861 meV per atom. Number 5: volume 18.44 Å³/atom, ΔE_f (raw) 2626 meV per atom. Number 6: volume 11.20 Å³/atom, ΔE_f (raw) -3037 meV per atom. Number 7: volume 11.53 Å³/atom, ΔE_f (raw) -2383 meV per atom. Number 8: volume 11.98 Å³/atom, ΔE_f (raw) -2936 meV per atom.